No. 1
Here is Zn2AsAu at its PBEsol-relaxed geometry from Alexandria via LeMat-Bulk. Energies are from meta-GGA SCAN.

abc: 4.131 4.131 3.779
angles: 90.00 90.00 90.00
Fractional positions:
Zn 0.000 0.500 0.000
Zn 0.500 0.000 0.000
As 0.000 0.000 0.500
Au 0.500 0.500 0.500

Summary:
As for the volume: 16.1 Å³ per atom. As for the formation energy: 37.4 meV/atom.

***

No. 2
Here is K2ZnPt at its PBEsol-relaxed geometry from Alexandria via LeMat-Bulk. Energies are from meta-GGA SCAN.

abc: 11.117 11.117 11.117
angles: 16.17 16.17 16.17
Fractional positions:
K 0.243 0.243 0.243
K 0.757 0.757 0.757
Zn 0.000 0.000 0.000
Pt 0.500 0.500 0.500

Summary:
As for the volume: 23.2 Å³ per atom. As for the formation energy: 407.5 meV/atom.

***

No. 3
Here is LaSc2Cr at its PBEsol-relaxed geometry from Alexandria via LeMat-Bulk. Energies are from meta-GGA SCAN.

abc: 5.835 5.835 5.835
angles: 146.73 128.14 63.02
Fractional positions:
La 0.000 0.000 0.000
Sc 0.400 0.400 0.000
Sc 0.698 0.198 0.500
Cr 0.187 0.687 0.500

Summary:
As for the volume: 21.2 Å³ per atom. As for the formation energy: 330.9 meV/atom.

***

No. 4
Here is CaLa2Hg at its PBEsol-relaxed geometry from Alexandria via LeMat-Bulk. Energies are from meta-GGA SCAN.

abc: 3.701 3.701 9.152
angles: 90.00 90.00 90.00
Fractional positions:
Ca 0.000 0.000 0.000
La 0.000 0.000 0.420
La 0.500 0.500 0.686
Hg 0.500 0.500 0.199

Summary:
As for the volume: 31.3 Å³ per atom. As for the formation energy: -346.0 meV/atom.

***

No. 5
Here is Ti2AlTlCr at its PBEsol-relaxed geometry from Alexandria via LeMat-Bulk. Energies are from meta-GGA SCAN.

abc: 4.436 4.436 4.719
angles: 90.00 90.00 90.00
Fractional positions:
Ti 0.000 0.500 0.000
Ti 0.500 0.000 0.000
Al 0.000 0.000 0.500
Tl 0.500 0.500 0.500
Cr 0.000 0.000 0.000

Summary:
As for the volume: 18.6 Å³ per atom. As for the formation energy: 458.4 meV/atom.

***

No. 6
Here is MgCoAs2O7 at its PBEsol-relaxed geometry from Alexandria via LeMat-Bulk. Energies are from meta-GGA SCAN.

abc: 7.190 8.524 9.637
angles: 90.00 115.30 90.00
Fractional positions:
Mg 0.233 0.068 0.115
Mg 0.233 0.432 0.615
Mg 0.767 0.568 0.385
Mg 0.767 0.932 0.885
Co 0.310 0.062 0.679
Co 0.310 0.438 0.179
Co 0.690 0.562 0.821
Co 0.690 0.938 0.321
As 0.049 0.742 0.730
As 0.049 0.758 0.230
As 0.488 0.724 0.039
As 0.488 0.776 0.539
As 0.512 0.224 0.461
As 0.512 0.276 0.961
As 0.951 0.242 0.770
As 0.951 0.258 0.270
O 0.024 0.600 0.600
O 0.024 0.900 0.100
O 0.106 0.578 0.185
O 0.106 0.922 0.685
O 0.158 0.249 0.727
O 0.158 0.251 0.227
O 0.239 0.669 0.905
O 0.239 0.831 0.405
O 0.360 0.236 0.558
O 0.360 0.264 0.058
O 0.461 0.599 0.614
O 0.461 0.901 0.114
O 0.477 0.071 0.338
O 0.477 0.429 0.838
O 0.523 0.571 0.162
O 0.523 0.929 0.662
O 0.539 0.099 0.886
O 0.539 0.401 0.386
O 0.640 0.736 0.942
O 0.640 0.764 0.442
O 0.761 0.169 0.595
O 0.761 0.331 0.095
O 0.842 0.749 0.773
O 0.842 0.751 0.273
O 0.894 0.078 0.315
O 0.894 0.422 0.815
O 0.976 0.100 0.900
O 0.976 0.400 0.400

Summary:
As for the volume: 12.1 Å³ per atom. The value obtained for the calculated total energy is -11.335 eV/atom.

***

No. 7
Here is Sr at its PBEsol-relaxed geometry from Alexandria via LeMat-Bulk. Energies are from meta-GGA SCAN.

abc: 4.179 4.179 4.179
angles: 60.00 60.00 60.00
Fractional positions:
Sr 0.000 0.000 0.000

Summary:
As for the volume: 51.6 Å³ per atom. As for the formation energy: 0.0 meV/atom. The energy above the most stable polymorph in this dataset comes out at 0 meV per atom.

***

No. 8
Here is KV4P7O24 at its PBEsol-relaxed geometry from Alexandria via LeMat-Bulk. Energies are from meta-GGA SCAN.

abc: 10.117 10.196 10.654
angles: 108.81 111.54 104.74
Fractional positions:
K 0.043 0.246 0.173
K 0.957 0.754 0.827
V 0.001 0.108 0.754
V 0.009 0.663 0.384
V 0.486 0.834 0.913
V 0.499 0.612 0.428
V 0.501 0.388 0.572
V 0.514 0.166 0.087
V 0.991 0.337 0.616
V 0.999 0.892 0.246
P 0.234 0.179 0.615
P 0.239 0.966 0.741
P 0.251 0.545 0.554
P 0.253 0.609 0.979
P 0.275 0.780 0.278
P 0.302 0.058 0.239
P 0.311 0.376 0.065
P 0.689 0.624 0.935
P 0.698 0.942 0.761
P 0.725 0.220 0.722
P 0.747 0.391 0.021
P 0.749 0.455 0.446
P 0.761 0.034 0.259
P 0.766 0.821 0.385
O 0.105 0.506 0.830
O 0.122 0.979 0.160
O 0.123 0.220 0.676
O 0.127 0.998 0.800
O 0.134 0.278 0.961
O 0.136 0.780 0.304
O 0.138 0.414 0.557
O 0.140 0.060 0.450
O 0.149 0.566 0.421
O 0.157 0.823 0.594
O 0.193 0.661 0.101
O 0.317 0.106 0.715
O 0.341 0.440 0.229
O 0.345 0.686 0.709
O 0.353 0.755 0.992
O 0.354 0.066 0.125
O 0.354 0.522 0.031
O 0.364 0.944 0.298
O 0.368 0.318 0.654
O 0.369 0.210 0.375
O 0.371 0.499 0.509
O 0.381 0.975 0.871
O 0.388 0.741 0.376
O 0.413 0.299 0.036
O 0.587 0.701 0.964
O 0.612 0.259 0.624
O 0.619 0.025 0.129
O 0.629 0.501 0.491
O 0.631 0.790 0.625
O 0.632 0.682 0.346
O 0.636 0.056 0.702
O 0.646 0.478 0.969
O 0.646 0.934 0.875
O 0.647 0.245 0.008
O 0.655 0.314 0.291
O 0.659 0.560 0.771
O 0.683 0.894 0.285
O 0.807 0.339 0.899
O 0.843 0.177 0.406
O 0.851 0.434 0.579
O 0.860 0.940 0.550
O 0.862 0.586 0.443
O 0.864 0.220 0.696
O 0.866 0.722 0.039
O 0.873 0.002 0.200
O 0.877 0.780 0.324
O 0.878 0.021 0.840
O 0.895 0.494 0.170

Summary:
As for the volume: 12.2 Å³ per atom. The value obtained for the calculated total energy is -10.913 eV/atom.